Entry 1:
Here is an optimized crystal structure of ReBAu3 from Alexandria. Energies are from PBE.

a b c (Å): 4.321 4.321 4.321
angles (deg): 90.00 90.00 90.00
Fractional coordinates of all 5 atoms:
Re (0.000, 0.000, 0.000)
B (0.500, 0.500, 0.500)
Au (0.000, 0.500, 0.500)
Au (0.500, 0.000, 0.500)
Au (0.500, 0.500, 0.000)

Properties
Energy relative to the elements = 1032 meV/atom
ΔE to the lowest computed polymorph = 0.000 eV/atom
Total DFT energy (no corrections) = -23.8 eV for the cell shown


Entry 2:
Here is an optimized crystal structure of GdDySnPb from Alexandria. Energies are from PBE.

a b c (Å): 7.670 7.670 7.670
angles (deg): 90.00 90.00 90.00
Fractional coordinates of all 16 atoms:
Gd (0.000, 0.000, 0.000)
Gd (0.000, 0.500, 0.500)
Gd (0.500, 0.000, 0.500)
Gd (0.500, 0.500, 0.000)
Dy (0.000, 0.000, 0.500)
Dy (0.000, 0.500, 0.000)
Dy (0.500, 0.000, 0.000)
Dy (0.500, 0.500, 0.500)
Sn (0.250, 0.250, 0.750)
Sn (0.250, 0.750, 0.250)
Sn (0.750, 0.250, 0.250)
Sn (0.750, 0.750, 0.750)
Pb (0.250, 0.250, 0.250)
Pb (0.250, 0.750, 0.750)
Pb (0.750, 0.250, 0.750)
Pb (0.750, 0.750, 0.250)

Properties
Energy relative to the elements = -486 meV/atom
Total DFT energy (no corrections) = -113.4 eV for the cell shown


Entry 3:
Here is an optimized crystal structure of Pr2Nd8Hg from Alexandria. Energies are from PBE.

a b c (Å): 6.416 6.416 12.440
angles (deg): 101.26 101.26 48.37
Fractional coordinates of all 11 atoms:
Pr (0.190, 0.190, 0.256)
Pr (0.810, 0.810, 0.744)
Nd (0.085, 0.085, 0.639)
Nd (0.240, 0.240, 0.914)
Nd (0.360, 0.360, 0.549)
Nd (0.469, 0.469, 0.168)
Nd (0.531, 0.531, 0.832)
Nd (0.640, 0.640, 0.451)
Nd (0.760, 0.760, 0.086)
Nd (0.915, 0.915, 0.361)
Hg (0.000, 0.000, 0.000)

Properties
Energy relative to the elements = -42 meV/atom
ΔE to the lowest computed polymorph = 0.000 eV/atom
Total DFT energy (no corrections) = -48.5 eV for the cell shown


Entry 4:
Here is an optimized crystal structure of Sm2GaCo from Alexandria. Energies are from PBE.

a b c (Å): 3.516 3.516 7.249
angles (deg): 90.00 90.00 90.00
Fractional coordinates of all 4 atoms:
Sm (0.000, 0.000, 0.231)
Sm (0.000, 0.000, 0.769)
Ga (0.500, 0.500, 0.500)
Co (0.500, 0.500, 0.000)

Properties
Energy relative to the elements = -283 meV/atom
Total DFT energy (no corrections) = -20.7 eV for the cell shown


Entry 5:
Here is an optimized crystal structure of In2RePt from Alexandria. Energies are from PBE.

a b c (Å): 3.048 3.048 27.796
angles (deg): 90.00 90.00 120.00
Fractional coordinates of all 12 atoms:
In (0.000, 0.000, 0.000)
In (0.000, 0.000, 0.238)
In (0.333, 0.667, 0.667)
In (0.333, 0.667, 0.905)
In (0.667, 0.333, 0.333)
In (0.667, 0.333, 0.571)
Re (0.000, 0.000, 0.488)
Re (0.333, 0.667, 0.155)
Re (0.667, 0.333, 0.821)
Pt (0.000, 0.000, 0.749)
Pt (0.333, 0.667, 0.415)
Pt (0.667, 0.333, 0.082)

Properties
Energy relative to the elements = 270 meV/atom
ΔE to the lowest computed polymorph = 0.114 eV/atom
Total DFT energy (no corrections) = -68.7 eV for the cell shown


Entry 6:
Here is an optimized crystal structure of TlCoTe2 from Alexandria. Energies are from PBE.

a b c (Å): 4.430 3.203 7.819
angles (deg): 90.00 106.34 90.00
Fractional coordinates of all 4 atoms:
Tl (0.000, 0.000, 0.000)
Co (0.472, 0.500, 0.943)
Te (0.340, 0.000, 0.678)
Te (0.645, 0.500, 0.289)

Properties
Uncorrected formation energy = 0.137 eV/atom
Total DFT energy (no corrections) = -15.2 eV for the cell shown


Entry 7:
Here is an optimized crystal structure of Li3AcNb4O12 from Alexandria. Energies are from PBE.

a b c (Å): 6.774 6.774 6.774
angles (deg): 109.47 109.47 109.47
Fractional coordinates of all 20 atoms:
Li (0.000, 0.500, 0.500)
Li (0.500, 0.000, 0.500)
Li (0.500, 0.500, 0.000)
Ac (0.000, 0.000, 0.000)
Nb (0.000, 0.000, 0.500)
Nb (0.000, 0.500, 0.000)
Nb (0.500, 0.000, 0.000)
Nb (0.500, 0.500, 0.500)
O (0.104, 0.810, 0.293)
O (0.190, 0.293, 0.483)
O (0.190, 0.707, 0.896)
O (0.293, 0.104, 0.810)
O (0.293, 0.483, 0.190)
O (0.483, 0.190, 0.293)
O (0.517, 0.810, 0.707)
O (0.707, 0.517, 0.810)
O (0.707, 0.896, 0.190)
O (0.810, 0.293, 0.104)
O (0.810, 0.707, 0.517)
O (0.896, 0.190, 0.707)

Properties
Uncorrected formation energy = -2.584 eV/atom
Total DFT energy (no corrections) = -161.3 eV for the cell shown


Entry 8:
Here is an optimized crystal structure of Tb6Tl3O from Alexandria. Energies are from PBE.

a b c (Å): 10.401 10.401 5.325
angles (deg): 90.00 90.00 111.89
Fractional coordinates of all 20 atoms:
Tb (0.088, 0.912, 0.500)
Tb (0.104, 0.556, 0.503)
Tb (0.233, 0.767, 0.010)
Tb (0.250, 0.415, 0.000)
Tb (0.415, 0.250, 0.500)
Tb (0.444, 0.896, 0.503)
Tb (0.556, 0.104, 0.003)
Tb (0.585, 0.750, 0.000)
Tb (0.750, 0.585, 0.500)
Tb (0.767, 0.233, 0.510)
Tb (0.896, 0.444, 0.003)
Tb (0.912, 0.088, 0.000)
Tl (0.085, 0.239, 0.498)
Tl (0.239, 0.085, 0.998)
Tl (0.423, 0.577, 0.499)
Tl (0.577, 0.423, 0.999)
Tl (0.761, 0.915, 0.498)
Tl (0.915, 0.761, 0.998)
O (0.215, 0.785, 0.477)
O (0.785, 0.215, 0.977)

Properties
Uncorrected formation energy = -0.802 eV/atom
Total DFT energy (no corrections) = -95.7 eV for the cell shown


Entry 9:
Here is an optimized crystal structure of MnCd2Tc from Alexandria. Energies are from PBE.

a b c (Å): 4.028 4.028 4.266
angles (deg): 90.00 90.00 90.00
Fractional coordinates of all 4 atoms:
Mn (0.000, 0.000, 0.000)
Cd (0.000, 0.500, 0.500)
Cd (0.500, 0.000, 0.500)
Tc (0.500, 0.500, 0.000)

Properties
Energy relative to the elements = 370 meV/atom
ΔE to the lowest computed polymorph = 0.188 eV/atom
Total DFT energy (no corrections) = -19.9 eV for the cell shown


Entry 10:
Here is an optimized crystal structure of Cu4HgCl7 from Alexandria. Energies are from PBE.

a b c (Å): 9.538 9.538 7.497
angles (deg): 90.00 90.00 60.17
Fractional coordinates of all 24 atoms:
Cu (0.048, 0.718, 0.750)
Cu (0.282, 0.952, 0.750)
Cu (0.302, 0.302, 0.000)
Cu (0.302, 0.302, 0.500)
Cu (0.698, 0.698, 0.000)
Cu (0.698, 0.698, 0.500)
Cu (0.718, 0.048, 0.250)
Cu (0.952, 0.282, 0.250)
Hg (0.250, 0.750, 0.250)
Hg (0.750, 0.250, 0.750)
Cl (0.032, 0.968, 0.750)
Cl (0.190, 0.580, 0.501)
Cl (0.190, 0.580, 0.999)
Cl (0.216, 0.228, 0.250)
Cl (0.228, 0.216, 0.750)
Cl (0.420, 0.810, 0.501)
Cl (0.420, 0.810, 0.999)
Cl (0.580, 0.190, 0.001)
Cl (0.580, 0.190, 0.499)
Cl (0.772, 0.784, 0.250)
Cl (0.784, 0.772, 0.750)
Cl (0.810, 0.420, 0.001)
Cl (0.810, 0.420, 0.499)
Cl (0.968, 0.032, 0.250)

Properties
Uncorrected formation energy = -0.510 eV/atom
Total DFT energy (no corrections) = -71.5 eV for the cell shown


Entry 11:
Here is an optimized crystal structure of MnAlCd2 from Alexandria. Energies are from PBE.

a b c (Å): 7.488 7.488 5.362
angles (deg): 90.00 90.00 90.00
Fractional coordinates of all 16 atoms:
Mn (0.000, 0.000, 0.000)
Mn (0.000, 0.500, 0.250)
Mn (0.500, 0.000, 0.750)
Mn (0.500, 0.500, 0.500)
Al (0.000, 0.000, 0.500)
Al (0.000, 0.500, 0.750)
Al (0.500, 0.000, 0.250)
Al (0.500, 0.500, 0.000)
Cd (0.240, 0.250, 0.125)
Cd (0.250, 0.740, 0.375)
Cd (0.250, 0.760, 0.875)
Cd (0.260, 0.250, 0.625)
Cd (0.740, 0.750, 0.625)
Cd (0.750, 0.240, 0.875)
Cd (0.750, 0.260, 0.375)
Cd (0.760, 0.750, 0.125)

Properties
Energy relative to the elements = 704 meV/atom
Total DFT energy (no corrections) = -47.7 eV for the cell shown


Entry 12:
Here is an optimized crystal structure of Li3AsH from Alexandria. Energies are from PBE.

a b c (Å): 3.933 3.933 3.933
angles (deg): 90.00 90.00 90.00
Fractional coordinates of all 5 atoms:
Li (0.000, 0.000, 0.500)
Li (0.000, 0.500, 0.000)
Li (0.500, 0.000, 0.000)
As (0.500, 0.500, 0.500)
H (0.000, 0.000, 0.000)

Properties
ΔE to the lowest computed polymorph = 0.000 eV/atom
Total DFT energy (no corrections) = -16.2 eV for the cell shown


Entry 13:
Here is an optimized crystal structure of Pr6CuCl8 from Alexandria. Energies are from PBE.

a b c (Å): 11.079 11.079 11.079
angles (deg): 37.32 37.32 37.32
Fractional coordinates of all 15 atoms:
Pr (0.123, 0.445, 0.767)
Pr (0.233, 0.877, 0.555)
Pr (0.445, 0.767, 0.123)
Pr (0.555, 0.233, 0.877)
Pr (0.767, 0.123, 0.445)
Pr (0.877, 0.555, 0.233)
Cu (0.500, 0.500, 0.500)
Cl (0.058, 0.723, 0.391)
Cl (0.167, 0.167, 0.167)
Cl (0.277, 0.609, 0.942)
Cl (0.391, 0.058, 0.723)
Cl (0.609, 0.942, 0.277)
Cl (0.723, 0.391, 0.058)
Cl (0.833, 0.833, 0.833)
Cl (0.942, 0.277, 0.609)

Properties
Uncorrected formation energy = -1.615 eV/atom
Total DFT energy (no corrections) = -71.8 eV for the cell shown


Entry 14:
Here is an optimized crystal structure of Li2AcMg2Hg2 from Alexandria. Energies are from PBE.

a b c (Å): 9.051 9.051 9.051
angles (deg): 31.08 31.08 31.08
Fractional coordinates of all 7 atoms:
Li (0.136, 0.136, 0.136)
Li (0.864, 0.864, 0.864)
Ac (0.000, 0.000, 0.000)
Mg (0.248, 0.248, 0.248)
Mg (0.752, 0.752, 0.752)
Hg (0.424, 0.424, 0.424)
Hg (0.576, 0.576, 0.576)

Properties
Energy relative to the elements = -218 meV/atom
Total DFT energy (no corrections) = -13.3 eV for the cell shown


Entry 15:
Here is an optimized crystal structure of K2TaSbO6 from Alexandria. Energies are from PBE.

a b c (Å): 5.685 5.685 5.685
angles (deg): 60.00 60.00 60.00
Fractional coordinates of all 10 atoms:
K (0.250, 0.250, 0.250)
K (0.750, 0.750, 0.750)
Ta (0.000, 0.000, 0.000)
Sb (0.500, 0.500, 0.500)
O (0.249, 0.249, 0.751)
O (0.249, 0.751, 0.249)
O (0.249, 0.751, 0.751)
O (0.751, 0.249, 0.249)
O (0.751, 0.249, 0.751)
O (0.751, 0.751, 0.249)

Properties
Uncorrected formation energy = -2.105 eV/atom
Total DFT energy (no corrections) = -69.0 eV for the cell shown


Entry 16:
Here is an optimized crystal structure of SrLaPd2 from Alexandria. Energies are from PBE.

a b c (Å): 3.714 3.714 7.456
angles (deg): 90.00 90.00 90.00
Fractional coordinates of all 4 atoms:
Sr (0.000, 0.000, 0.000)
La (0.000, 0.000, 0.500)
Pd (0.500, 0.500, 0.282)
Pd (0.500, 0.500, 0.718)

Properties
Energy relative to the elements = -712 meV/atom
ΔE to the lowest computed polymorph = 0.000 eV/atom
Total DFT energy (no corrections) = -19.8 eV for the cell shown


Entry 17:
Here is an optimized crystal structure of BaGePt from Alexandria. Energies are from PBE.

a b c (Å): 4.353 4.353 4.971
angles (deg): 90.00 90.00 120.00
Fractional coordinates of all 3 atoms:
Ba (0.000, 0.000, 0.000)
Ge (0.667, 0.333, 0.500)
Pt (0.333, 0.667, 0.500)

Properties
Energy relative to the elements = -776 meV/atom
Total DFT energy (no corrections) = -14.9 eV for the cell shown


Entry 18:
Here is an optimized crystal structure of Sc2TcBiO8 from Alexandria. Energies are from PBE.

a b c (Å): 4.856 4.856 6.562
angles (deg): 90.00 90.00 90.36
Fractional coordinates of all 12 atoms:
Sc (0.000, 0.000, 0.248)
Sc (0.000, 0.000, 0.752)
Tc (0.500, 0.500, 0.500)
Bi (0.500, 0.500, 0.000)
O (0.180, 0.180, 0.000)
O (0.222, 0.222, 0.500)
O (0.308, 0.692, 0.283)
O (0.308, 0.692, 0.717)
O (0.692, 0.308, 0.283)
O (0.692, 0.308, 0.717)
O (0.778, 0.778, 0.500)
O (0.820, 0.820, 0.000)

Properties
Uncorrected formation energy = -2.143 eV/atom
Total DFT energy (no corrections) = -92.3 eV for the cell shown


Entry 19:
Here is an optimized crystal structure of Zr4CoOs from Alexandria. Energies are from PBE.

a b c (Å): 6.337 6.423 6.330
angles (deg): 90.00 91.23 90.00
Fractional coordinates of all 12 atoms:
Zr (0.176, 0.181, 0.193)
Zr (0.176, 0.319, 0.693)
Zr (0.320, 0.668, 0.153)
Zr (0.320, 0.832, 0.653)
Zr (0.680, 0.168, 0.347)
Zr (0.680, 0.332, 0.847)
Zr (0.824, 0.681, 0.307)
Zr (0.824, 0.819, 0.807)
Co (0.000, 0.000, 0.500)
Co (0.000, 0.500, 0.000)
Os (0.500, 0.000, 0.000)
Os (0.500, 0.500, 0.500)

Properties
Energy relative to the elements = -60 meV/atom
ΔE to the lowest computed polymorph = 0.169 eV/atom
Total DFT energy (no corrections) = -105.8 eV for the cell shown


Entry 20:
Here is an optimized crystal structure of Pr2AlZn5 from Alexandria. Energies are from PBE.

a b c (Å): 8.522 8.522 8.942
angles (deg): 90.00 90.00 149.32
Fractional coordinates of all 16 atoms:
Pr (0.000, 0.000, 0.000)
Pr (0.000, 0.000, 0.500)
Pr (0.207, 0.793, 0.750)
Pr (0.793, 0.207, 0.250)
Al (0.442, 0.558, 0.250)
Al (0.558, 0.442, 0.750)
Zn (0.185, 0.815, 0.107)
Zn (0.185, 0.815, 0.393)
Zn (0.350, 0.650, 0.020)
Zn (0.350, 0.650, 0.480)
Zn (0.404, 0.596, 0.750)
Zn (0.596, 0.404, 0.250)
Zn (0.650, 0.350, 0.520)
Zn (0.650, 0.350, 0.980)
Zn (0.815, 0.185, 0.607)
Zn (0.815, 0.185, 0.893)

Properties
Energy relative to the elements = -355 meV/atom
ΔE to the lowest computed polymorph = 0.000 eV/atom
Total DFT energy (no corrections) = -45.0 eV for the cell shown